(1)
Below is a relaxed structure of CdCuSi2, with properties calculated at the PBE-GGA level.

abc: 3.321 3.321 6.147
angles: 90.00 90.00 90.00
Positions (direct):
Cd1 0.000 0.000 0.000
Cu1 0.000 0.000 0.500
Si1 0.500 0.500 0.303
Si2 0.500 0.500 0.697

Computed properties:
Space group: No. 123
Density of states at the Fermi level, states/eV per atom: 0.24
Total magnetization, μB per atom: 0.000

***

(2)
Below is a relaxed structure of CdCuSi2, with properties calculated at the PBE-GGA level.

abc: 2.779 3.441 6.922
angles: 90.00 90.00 90.00
Positions (direct):
Cd1 0.000 0.000 0.000
Cu1 0.500 0.500 0.276
Si1 0.000 0.000 0.466
Si2 0.500 0.500 0.660

Computed properties:
Space group: No. 25
Density of states at the Fermi level, states/eV per atom: 0.20
Total magnetization, μB per atom: 0.000

***

(3)
Below is a relaxed structure of CdCuSi, with properties calculated at the PBE-GGA level.

abc: 2.865 2.902 6.094
angles: 90.00 90.00 90.00
Positions (direct):
Cd1 0.000 0.000 0.000
Cu1 0.500 0.500 0.669
Si1 0.000 0.000 0.436

Computed properties:
Space group: No. 25
Density of states at the Fermi level, states/eV per atom: 0.16
Total magnetization, μB per atom: 0.000

***

(4)
Below is a relaxed structure of CdCuSi2, with properties calculated at the PBE-GGA level.

abc: 5.694 5.694 2.987
angles: 104.14 104.14 125.87
Positions (direct):
Cd1 0.000 0.000 0.000
Cu1 0.500 0.500 0.000
Si1 0.000 0.500 0.000
Si2 0.500 0.000 0.000

Computed properties:
Space group: No. 12
Density of states at the Fermi level, states/eV per atom: 0.27
Total magnetization, μB per atom: 0.000

***

(5)
Below is a relaxed structure of CdCu2Si, with properties calculated at the PBE-GGA level.

abc: 2.788 2.788 7.643
angles: 90.00 90.00 94.10
Positions (direct):
Cd1 0.000 0.000 0.000
Cu1 0.500 0.500 0.284
Cu2 0.500 0.500 0.716
Si1 0.000 0.000 0.500

Computed properties:
Space group: No. 65
Density of states at the Fermi level, states/eV per atom: 0.45
Total magnetization, μB per atom: 0.000

***

(6)
Below is a relaxed structure of CdCuSi, with properties calculated at the PBE-GGA level.

abc: 3.997 4.779 5.544
angles: 90.00 91.15 90.00
Positions (direct):
Cd1 0.229 0.000 0.451
Cd2 0.771 0.500 0.549
Cu1 0.004 0.349 0.068
Cu2 0.996 0.849 0.932
Si1 0.498 0.127 0.902
Si2 0.502 0.627 0.098

Computed properties:
Space group: No. 4
Density of states at the Fermi level, states/eV per atom: 0.26
Total magnetization, μB per atom: 0.000

***

(7)
Below is a relaxed structure of CdCuSi, with properties calculated at the PBE-GGA level.

abc: 5.051 3.863 5.455
angles: 90.00 103.11 90.00
Positions (direct):
Cd1 0.000 0.000 0.000
Cd2 0.480 0.500 0.903
Cu1 0.349 0.500 0.365
Cu2 0.848 0.500 0.352
Si1 0.137 0.000 0.531
Si2 0.641 0.000 0.526

Computed properties:
Space group: No. 6
Density of states at the Fermi level, states/eV per atom: 0.20
Total magnetization, μB per atom: 0.000

***

(8)
Below is a relaxed structure of CdCuSi2, with properties calculated at the PBE-GGA level.

abc: 4.909 4.909 4.909
angles: 136.68 122.39 74.74
Positions (direct):
Cd1 0.000 0.000 0.000
Cu1 0.279 0.779 0.500
Si1 0.505 0.505 0.000
Si2 0.718 0.218 0.500

Computed properties:
Space group: No. 44
Density of states at the Fermi level, states/eV per atom: 0.39
Total magnetization, μB per atom: 0.000

***

(9)
Below is a relaxed structure of CdCuSi2, with properties calculated at the PBE-GGA level.

abc: 4.111 4.111 5.880
angles: 103.46 103.46 47.01
Positions (direct):
Cd1 0.000 0.000 0.000
Cu1 0.500 0.500 0.500
Si1 0.240 0.240 0.671
Si2 0.760 0.760 0.329

Computed properties:
Space group: No. 12
Density of states at the Fermi level, states/eV per atom: 0.35
Total magnetization, μB per atom: 0.000

***

(10)
Below is a relaxed structure of Cd2Cu2Si, with properties calculated at the PBE-GGA level.

abc: 7.819 7.819 2.865
angles: 90.00 90.00 90.00
Positions (direct):
Cd1 0.139 0.361 0.000
Cd2 0.361 0.861 0.000
Cd3 0.639 0.139 0.000
Cd4 0.861 0.639 0.000
Cu1 0.160 0.660 0.500
Cu2 0.340 0.160 0.500
Cu3 0.660 0.840 0.500
Cu4 0.840 0.340 0.500
Si1 0.000 0.000 0.000
Si2 0.500 0.500 0.000

Computed properties:
Space group: No. 127
Density of states at the Fermi level, states/eV per atom: 0.31
Total magnetization, μB per atom: 0.000

***

(11)
Below is a relaxed structure of CdCuSi2, with properties calculated at the PBE-GGA level.

abc: 2.940 2.940 7.672
angles: 90.00 90.00 90.00
Positions (direct):
Cd1 0.000 0.000 0.000
Cu1 0.000 0.000 0.500
Si1 0.500 0.500 0.299
Si2 0.500 0.500 0.701

Computed properties:
Space group: No. 123
Density of states at the Fermi level, states/eV per atom: 0.13
Total magnetization, μB per atom: 0.000

***

(12)
Below is a relaxed structure of Cd2Cu2Si, with properties calculated at the PBE-GGA level.

abc: 6.894 6.894 6.894
angles: 147.79 147.79 46.19
Positions (direct):
Cd1 0.250 0.750 0.500
Cd2 0.750 0.250 0.500
Cu1 0.091 0.091 0.000
Cu2 0.909 0.909 0.000
Si1 0.500 0.500 0.000

Computed properties:
Space group: No. 139
Density of states at the Fermi level, states/eV per atom: 0.33
Total magnetization, μB per atom: 0.000

***

(13)
Below is a relaxed structure of CdCu2Si, with properties calculated at the PBE-GGA level.

abc: 2.777 2.777 8.036
angles: 90.00 90.00 90.00
Positions (direct):
Cd1 0.000 0.000 0.000
Cu1 0.000 0.000 0.463
Cu2 0.500 0.500 0.255
Si1 0.500 0.500 0.663

Computed properties:
Space group: No. 99
Density of states at the Fermi level, states/eV per atom: 0.24
Total magnetization, μB per atom: 0.000

***

(14)
Below is a relaxed structure of CdCuSi2, with properties calculated at the PBE-GGA level.

abc: 4.559 4.559 4.559
angles: 60.00 60.00 60.00
Positions (direct):
Cd1 0.000 0.000 0.000
Cu1 0.250 0.250 0.250
Si1 0.500 0.500 0.500
Si2 0.750 0.750 0.750

Computed properties:
Space group: No. 216
Density of states at the Fermi level, states/eV per atom: 0.44
Total magnetization, μB per atom: 0.000

***

(15)
Below is a relaxed structure of CdCu2Si, with properties calculated at the PBE-GGA level.

abc: 4.397 4.397 4.397
angles: 60.00 60.00 60.00
Positions (direct):
Cd1 0.000 0.000 0.000
Cu1 0.250 0.250 0.250
Cu2 0.750 0.750 0.750
Si1 0.500 0.500 0.500

Computed properties:
Space group: No. 225
Density of states at the Fermi level, states/eV per atom: 0.29
Total magnetization, μB per atom: 0.000

***

(16)
Below is a relaxed structure of CdCu3Si, with properties calculated at the PBE-GGA level.

abc: 4.440 4.440 4.440
angles: 90.00 90.00 90.00
Positions (direct):
Cd1 0.000 0.000 0.000
Cu1 0.000 0.500 0.500
Cu2 0.500 0.000 0.500
Cu3 0.500 0.500 0.000
Si1 0.500 0.500 0.500

Computed properties:
Space group: No. 221
Density of states at the Fermi level, states/eV per atom: 0.28
Total magnetization, μB per atom: 0.000

***

(17)
Below is a relaxed structure of Cd2CuSi, with properties calculated at the PBE-GGA level.

abc: 5.142 5.142 5.142
angles: 132.78 132.78 69.00
Positions (direct):
Cd1 0.000 0.000 0.000
Cd2 0.750 0.250 0.500
Cu1 0.250 0.750 0.500
Si1 0.500 0.500 0.000

Computed properties:
Space group: No. 119
Density of states at the Fermi level, states/eV per atom: 0.29
Total magnetization, μB per atom: 0.000

***

(18)
Below is a relaxed structure of CdCuSi2, with properties calculated at the PBE-GGA level.

abc: 4.444 4.444 6.056
angles: 108.93 108.93 38.53
Positions (direct):
Cd1 0.000 0.000 0.000
Cu1 0.268 0.268 0.622
Si1 0.535 0.535 0.569
Si2 0.800 0.800 0.288

Computed properties:
Space group: No. 8
Density of states at the Fermi level, states/eV per atom: 0.25
Total magnetization, μB per atom: 0.000

***

(19)
Below is a relaxed structure of Cd2CuSi, with properties calculated at the PBE-GGA level.

abc: 4.698 4.698 3.329
angles: 90.00 90.00 90.00
Positions (direct):
Cd1 0.000 0.500 0.000
Cd2 0.500 0.000 0.000
Cu1 0.000 0.000 0.500
Si1 0.500 0.500 0.500

Computed properties:
Space group: No. 123
Density of states at the Fermi level, states/eV per atom: 0.21
Total magnetization, μB per atom: 0.000

***

(20)
Below is a relaxed structure of CdCuSi2, with properties calculated at the PBE-GGA level.

abc: 2.686 3.690 6.916
angles: 90.00 90.00 90.00
Positions (direct):
Cd1 0.000 0.000 0.000
Cu1 0.000 0.000 0.500
Si1 0.500 0.500 0.315
Si2 0.500 0.500 0.685

Computed properties:
Space group: No. 47
Density of states at the Fermi level, states/eV per atom: 0.33
Total magnetization, μB per atom: 0.000

***

(21)
Below is a relaxed structure of CdCu2Si, with properties calculated at the PBE-GGA level.

abc: 2.911 4.052 5.199
angles: 90.00 90.00 90.00
Positions (direct):
Cd1 0.000 0.000 0.000
Cu1 0.500 0.000 0.477
Cu2 0.500 0.500 0.780
Si1 0.000 0.500 0.403

Computed properties:
Space group: No. 25
Density of states at the Fermi level, states/eV per atom: 0.31
Total magnetization, μB per atom: 0.000

***

(22)
Below is a relaxed structure of CdCu2Si, with properties calculated at the PBE-GGA level.

abc: 8.656 8.656 8.656
angles: 152.14 152.14 39.81
Positions (direct):
Cd1 0.000 0.000 0.000
Cd2 0.750 0.250 0.500
Cu1 0.223 0.625 0.098
Cu2 0.375 0.473 0.598
Cu3 0.527 0.125 0.902
Cu4 0.875 0.777 0.402
Si1 0.250 0.750 0.500
Si2 0.500 0.500 0.000

Computed properties:
Space group: No. 122
Density of states at the Fermi level, states/eV per atom: 0.34
Total magnetization, μB per atom: 0.000

***

(23)
Below is a relaxed structure of Cd2CuSi, with properties calculated at the PBE-GGA level.

abc: 2.982 2.982 8.217
angles: 90.00 90.00 90.11
Positions (direct):
Cd1 0.000 0.000 0.226
Cd2 0.000 0.000 0.774
Cu1 0.500 0.500 0.000
Si1 0.500 0.500 0.500

Computed properties:
Space group: No. 65
Density of states at the Fermi level, states/eV per atom: 0.48
Total magnetization, μB per atom: 0.000

***

(24)
Below is a relaxed structure of CdCu2Si, with properties calculated at the PBE-GGA level.

abc: 3.994 3.994 3.713
angles: 90.00 90.00 90.00
Positions (direct):
Cd1 0.000 0.000 0.000
Cu1 0.000 0.500 0.500
Cu2 0.500 0.000 0.500
Si1 0.500 0.500 0.000

Computed properties:
Space group: No. 123
Density of states at the Fermi level, states/eV per atom: 0.29
Total magnetization, μB per atom: 0.000

***

(25)
Below is a relaxed structure of Cd2CuSi, with properties calculated at the PBE-GGA level.

abc: 5.107 5.107 5.107
angles: 132.04 132.04 70.17
Positions (direct):
Cd1 0.250 0.750 0.500
Cd2 0.750 0.250 0.500
Cu1 0.000 0.000 0.000
Si1 0.500 0.500 0.000

Computed properties:
Space group: No. 139
Density of states at the Fermi level, states/eV per atom: 0.32
Total magnetization, μB per atom: 0.000

***

(26)
Below is a relaxed structure of CdCuSi2, with properties calculated at the PBE-GGA level.

abc: 2.757 2.757 10.639
angles: 90.00 90.00 120.24
Positions (direct):
Cd1 0.000 0.000 0.000
Cu1 0.000 0.000 0.500
Si1 0.500 0.500 0.303
Si2 0.500 0.500 0.697

Computed properties:
Space group: No. 65
Density of states at the Fermi level, states/eV per atom: 0.25
Total magnetization, μB per atom: 0.000

***

(27)
Below is a relaxed structure of CdCu2Si, with properties calculated at the PBE-GGA level.

abc: 4.247 4.247 5.944
angles: 103.53 103.53 37.61
Positions (direct):
Cd1 0.000 0.000 0.000
Cu1 0.246 0.246 0.685
Cu2 0.754 0.754 0.315
Si1 0.500 0.500 0.500

Computed properties:
Space group: No. 12
Density of states at the Fermi level, states/eV per atom: 0.23
Total magnetization, μB per atom: 0.000

***

(28)
Below is a relaxed structure of CdCu2Si, with properties calculated at the PBE-GGA level.

abc: 3.116 3.116 6.082
angles: 90.00 90.00 90.00
Positions (direct):
Cd1 0.000 0.000 0.000
Cu1 0.500 0.500 0.290
Cu2 0.500 0.500 0.710
Si1 0.000 0.000 0.500

Computed properties:
Space group: No. 123
Density of states at the Fermi level, states/eV per atom: 0.24
Total magnetization, μB per atom: 0.000

***

(29)
Below is a relaxed structure of Cd2CuSi, with properties calculated at the PBE-GGA level.

abc: 7.333 7.333 7.333
angles: 131.11 131.11 71.65
Positions (direct):
Cd1 0.119 0.625 0.994
Cd2 0.375 0.369 0.494
Cd3 0.631 0.125 0.006
Cd4 0.875 0.881 0.506
Cu1 0.250 0.750 0.500
Cu2 0.500 0.500 0.000
Si1 0.000 0.000 0.000
Si2 0.750 0.250 0.500

Computed properties:
Space group: No. 122
Density of states at the Fermi level, states/eV per atom: 0.76
Total magnetization, μB per atom: 0.000

***

(30)
Below is a relaxed structure of CdCuSi2, with properties calculated at the PBE-GGA level.

abc: 2.674 3.382 7.455
angles: 90.00 100.20 90.00
Positions (direct):
Cd1 0.000 0.000 0.000
Cu1 0.633 0.500 0.272
Si1 0.222 0.000 0.452
Si2 0.344 0.500 0.704

Computed properties:
Space group: No. 6
Density of states at the Fermi level, states/eV per atom: 0.28
Total magnetization, μB per atom: 0.000

***

Let's list total DFT energy (no corrections) in order: -14.282; -14.651; -10.025; -14.234; -13.912; -20.116; -20.143; -14.194; -14.748; -27.382; -14.493; -13.046; -13.741; -13.780; -13.587; -16.970; -10.163; -14.661; -9.960; -14.604; -13.967; -26.777; -10.175; -13.791; -10.141; -14.473; -13.976; -14.047; -16.872; -14.797 eV/cell.
Let's list energy relative to the elements, uncorrected in order: 0.3939; 0.3015; 0.1365; 0.4058; 0.1547; 0.1255; 0.1210; 0.4157; 0.2774; 0.3509; 0.3411; 0.4799; 0.1973; 0.5192; 0.2359; 0.3314; 0.2966; 0.2990; 0.3472; 0.3133; 0.1410; 0.2855; 0.2936; 0.1849; 0.3021; 0.3461; 0.1387; 0.1208; 0.7283; 0.2651 eV per atom.